Entry 1:
{
  "formula": "HoErCo2B2O2",
  "functional": "PBE+U",
  "state": "optimized geometry",
  "lattice_angstrom": [[-1.522, 0.047, 3.115], [-0.849, -3.342, -0.364], [6.302, -1.939, 3.110]],
  "species": ["Co", "Er", "O", "B", "B", "O", "Ho", "Co"],
  "frac_coords": [[0.500, 0.000, 0.499], [0.500, 0.500, 0.193], [0.500, 0.500, 0.868], [0.500, 0.500, 0.637], [0.000, 0.000, 0.361], [0.000, 0.000, 0.134], [0.000, 0.000, 0.808], [0.000, 0.500, 0.499]]
}

***

Entry 2:
{
  "formula": "Ho2ErCo2B2O3",
  "functional": "PBE+U",
  "state": "optimized geometry",
  "lattice_angstrom": [[-7.800, -2.364, 7.255], [-10.170, -2.467, 3.090], [9.483, 0.082, -5.397]],
  "species": ["B", "Co", "O", "Ho", "O", "Ho", "B", "O", "Er", "Co"],
  "frac_coords": [[0.791, 0.791, 0.000], [0.750, 0.250, 0.500], [0.898, 0.898, 0.000], [0.637, 0.637, 0.000], [0.500, 0.500, 0.000], [0.363, 0.363, 0.000], [0.209, 0.209, 0.000], [0.102, 0.102, 0.000], [0.000, 0.000, 0.000], [0.250, 0.750, 0.500]]
}

***

Entry 3:
{
  "formula": "HoEr2Co2B2O3",
  "functional": "PBE+U",
  "state": "optimized geometry",
  "lattice_angstrom": [[2.580, 1.681, 10.454], [1.028, 5.989, 9.047], [-4.033, -4.427, -9.105]],
  "species": ["Ho", "B", "O", "Er", "B", "Co", "O", "O", "Er", "Co"],
  "frac_coords": [[0.000, 0.000, 0.000], [0.791, 0.791, 0.000], [0.103, 0.103, 0.000], [0.638, 0.638, 0.000], [0.209, 0.209, 0.000], [0.750, 0.250, 0.500], [0.897, 0.897, 0.000], [0.500, 0.500, 0.000], [0.362, 0.362, 0.000], [0.250, 0.750, 0.500]]
}

***

DFT total energy, record by record: -6.673; -6.877; -6.869 eV per atom